# 1
NaDyLuIn after structural relaxation, computed with PBE.

Results
Formation energy in meV/atom: -90.6
Total DFT energy (no corrections) in eV/f.u.: -13.5
Fermi-level density of states in states/eV per atom: 0.838

a b c (Å): 5.3438 5.3438 5.3438
angles (deg): 60.00 60.00 60.00
Sites, in units of the cell vectors:
Na (0.0000, 0.0000, 0.0000)
Dy (0.2500, 0.2500, 0.2500)
Lu (0.7500, 0.7500, 0.7500)
In (0.5000, 0.5000, 0.5000)



# 2
Y3AlN after structural relaxation, computed with PBE.

Results
Total DFT energy (no corrections) in eV/f.u.: -30.0
ΔE_f (raw) in eV per atom: 0.301
Fermi-level density of states in states/eV per atom: 0.859

a b c (Å): 4.3562 4.3562 16.0223
angles (deg): 90.00 90.00 120.00
Sites, in units of the cell vectors:
Y (0.0000, 0.0000, 0.2500)
Y (0.0000, 0.0000, 0.7500)
Y (0.3333, 0.6667, 0.0671)
Y (0.3333, 0.6667, 0.4329)
Y (0.6667, 0.3333, 0.5671)
Y (0.6667, 0.3333, 0.9329)
Al (0.3333, 0.6667, 0.2500)
Al (0.6667, 0.3333, 0.7500)
N (0.0000, 0.0000, 0.0000)
N (0.0000, 0.0000, 0.5000)



# 3
InRe2Pb after structural relaxation, computed with PBE.

Results
Formation energy in meV/atom: 1528.0
E above lowest polymorph in meV/atom: 1211
Total DFT energy (no corrections) in eV/f.u.: -25.2
Fermi-level density of states in states/eV per atom: 0.998

a b c (Å): 6.1272 6.1272 6.1272
angles (deg): 101.87 101.87 126.05
Sites, in units of the cell vectors:
In (0.0000, 0.0000, 0.0000)
In (0.7500, 0.2500, 0.5000)
Re (0.1216, 0.6250, 0.9966)
Re (0.3750, 0.3716, 0.4966)
Re (0.6284, 0.1250, 0.0034)
Re (0.8750, 0.8784, 0.5034)
Pb (0.2500, 0.7500, 0.5000)
Pb (0.5000, 0.5000, 0.0000)



# 4
Zr2NbCo2 after structural relaxation, computed with PBE.

Results
Formation energy in meV/atom: -245.6
E above lowest polymorph in meV/atom: 0
Total DFT energy (no corrections) in eV/f.u.: -42.6
Fermi-level density of states in states/eV per atom: 0.759

a b c (Å): 5.3120 5.3120 3.8395
angles (deg): 111.06 111.06 60.61
Sites, in units of the cell vectors:
Zr (0.2013, 0.2013, 0.2013)
Zr (0.7987, 0.7987, 0.7987)
Nb (0.5000, 0.5000, 0.0000)
Co (0.2269, 0.7731, 0.5000)
Co (0.7731, 0.2269, 0.5000)



# 5
CrNi2Sb2 after structural relaxation, computed with PBE.

Results
Total DFT energy (no corrections) in eV/f.u.: -28.9
ΔE_f (raw) in eV per atom: 0.099
Fermi-level density of states in states/eV per atom: 0.538

a b c (Å): 6.9253 6.9253 3.4976
angles (deg): 90.00 90.00 90.00
Sites, in units of the cell vectors:
Cr (0.0000, 0.0000, 0.0000)
Cr (0.5000, 0.5000, 0.0000)
Ni (0.1255, 0.3745, 0.0000)
Ni (0.3745, 0.8745, 0.0000)
Ni (0.6255, 0.1255, 0.0000)
Ni (0.8745, 0.6255, 0.0000)
Sb (0.1759, 0.6759, 0.5000)
Sb (0.3241, 0.1759, 0.5000)
Sb (0.6759, 0.8241, 0.5000)
Sb (0.8241, 0.3241, 0.5000)



# 6
RbGeH3 after structural relaxation, computed with PBE.

Results
E above lowest polymorph in meV/atom: 1389
Total DFT energy (no corrections) in eV/f.u.: -9.4
Fermi-level density of states in states/eV per atom: 0.113

a b c (Å): 4.6045 4.6045 4.6045
angles (deg): 90.00 90.00 90.00
Sites, in units of the cell vectors:
Rb (0.0000, 0.0000, 0.0000)
Ge (0.5000, 0.5000, 0.5000)
H (0.0000, 0.0000, 0.5000)
H (0.0000, 0.5000, 0.0000)
H (0.5000, 0.0000, 0.0000)



Q: Among the records above, which one has the lowest Fermi-level density of states?
A: RbGeH3